This record from Alexandria via LeMat-Bulk describes a geometry-optimized Nd5Ho2Er3 structure. The functional is GGA-PBE.

The space group is C2/c (No. 15) and the conventional cell measures 10.6970, 14.8720 and 10.0123 Å, with angles of 90.00, 122.27 and 90.00 degrees. The distinct sites, in fractional coordinates, are Nd at (0.0000, 0.0192, 0.2500), Nd at (0.0000, 0.2287, 0.2500), Nd at (0.0000, 0.4786, 0.7500), Nd at (0.2472, 0.3697, 0.2426), Ho at (0.1523, 0.1289, 0.0574), Er at (0.0000, 0.2727, 0.7500) and Er at (0.1546, 0.3745, 0.5576).

The relative energy among the computed polymorphs is 0.000 kcal/mol of atoms. Its energy relative to the elements is 0.18 eV/atom. The total energy is -179.509 eV per cell.

This record from Alexandria via LeMat-Bulk describes a geometry-optimized Ba2Mg4CdGa3 structure. The functional is GGA-PBE.

The space group is P-4m2 (No. 115) and the conventional cell measures 4.9001, 4.9001 and 11.3682 Å, with angles of 90.00, 90.00 and 90.00 degrees. The distinct sites, in fractional coordinates, are Ba at (0.0000, 0.5000, 0.2492), Mg at (0.0000, 0.0000, 0.0000), Mg at (0.0000, 0.5000, 0.6297), Mg at (0.5000, 0.5000, 0.0000), Cd at (0.0000, 0.0000, 0.5000), Ga at (0.0000, 0.5000, 0.8715) and Ga at (0.5000, 0.5000, 0.5000).

Its energy relative to the elements is -0.25 eV/atom. The total energy is -22.723 eV per cell.

This record from Alexandria via LeMat-Bulk describes a geometry-optimized FeSiMo structure. The functional is GGA-PBE.

The space group is Amm2 (No. 38) and the conventional cell measures 7.6585, 4.8884 and 8.0340 Å, with angles of 90.00, 90.00 and 90.00 degrees. The distinct sites, in fractional coordinates, are Fe at (0.0000, 0.0000, 0.0000), Fe at (0.0000, 0.2389, 0.2417), Fe at (0.5000, 0.0000, 0.6824), Si at (0.2380, 0.0000, 0.8189), Si at (0.5000, 0.2402, 0.4271), Mo at (0.1816, 0.0000, 0.4926) and Mo at (0.3110, 0.0000, 0.1616).

The formation energy without anion corrections comes out at -0.33 eV/atom. The total energy is -205.646 eV per cell.

Computed values of calculated density (unit: kg/m³) for the preceding records, in sequence: 7659 4219 7944.
Computed values of total magnetic moment (unit: Bohr magnetons per cell) for the preceding records, in sequence: 0.00 0.00 6.09.